Ba4AgPd2 | Alexandria via LeMat-Bulk | PBE | relaxed; D(E_F) = 7.39 states/eV/cell; ΔE to the lowest computed polymorph = 0.00 kcal/mol of atoms; formation energy = -394 meV/atom
1.0
7.891 -0.058 -2.190
1.771 7.689 -2.193
0.057 0.049 8.814
Ba Ag Pd
8 2 4
direct
0.122 0.122 0.829
0.621 0.621 0.344
0.132 0.132 0.348
0.615 0.144 0.967
0.144 0.615 0.967
0.615 0.615 0.826
0.158 0.636 0.475
0.636 0.158 0.475
0.839 0.839 0.194
0.830 0.830 0.693
0.333 0.333 0.692
0.344 0.344 0.201
0.928 0.434 0.619
0.434 0.928 0.619



Ba2AgPd | Alexandria via LeMat-Bulk | PBE | relaxed; D(E_F) = 2.17 states/eV/cell; ΔE to the lowest computed polymorph = 1.15 kcal/mol of atoms; formation energy = -358 meV/atom
1.0
3.075 -3.190 3.538
-1.107 0.062 5.560
-2.330 -4.536 2.478
Pd Ba Ag
1 2 1
direct
0.000 0.000 0.000
0.250 0.250 0.250
0.750 0.750 0.750
0.500 0.500 0.500



Ba4AgPd2 | Alexandria via LeMat-Bulk | PBE | relaxed; D(E_F) = 7.60 states/eV/cell; ΔE to the lowest computed polymorph = 1.18 kcal/mol of atoms; formation energy = -343 meV/atom
1.0
-4.612 5.622 5.620
2.604 -6.803 5.603
6.572 4.890 -4.163
Ba Ag Pd
8 2 4
direct
0.906 0.191 0.284
0.343 0.559 0.216
0.907 0.622 0.716
0.805 0.109 0.696
0.413 0.109 0.304
0.344 0.128 0.784
0.445 0.641 0.804
0.837 0.641 0.196
0.154 0.654 0.500
0.096 0.096 0.000
0.625 0.375 0.750
0.625 0.875 0.250
0.625 0.375 0.250
0.125 0.375 0.750



BaAg4Pd | Alexandria via LeMat-Bulk | PBE | relaxed; D(E_F) = 1.13 states/eV/cell; ΔE to the lowest computed polymorph = 0.00 kcal/mol of atoms; formation energy = -121 meV/atom
1.0
5.715 0.000 0.000
2.858 4.949 0.000
2.858 1.650 4.666
Pd Ba Ag
1 1 4
direct
0.250 0.250 0.250
0.000 0.000 0.000
0.624 0.624 0.128
0.624 0.128 0.624
0.624 0.624 0.624
0.128 0.624 0.624



Ba2AgPd | Alexandria via LeMat-Bulk | PBE | relaxed; D(E_F) = 2.37 states/eV/cell; ΔE to the lowest computed polymorph = 0.98 kcal/mol of atoms; formation energy = -366 meV/atom
1.0
-2.278 -1.984 -2.599
-0.022 -3.158 2.431
-6.684 2.871 3.668
Pd Ba Ag
1 2 1
direct
0.500 0.500 0.000
0.000 0.000 0.767
0.000 0.000 0.233
0.500 0.500 0.500



Ba2Ag5Pd12 | Alexandria via LeMat-Bulk | PBE | relaxed; D(E_F) = 20.19 states/eV/cell; formation energy = -181 meV/atom
1.0
7.134 0.129 0.740
0.681 7.103 0.740
0.140 0.129 7.171
Ba Ag Pd
2 5 12
direct
0.655 0.655 0.655
0.345 0.345 0.345
0.000 0.000 0.500
0.000 0.500 0.000
0.500 0.000 0.000
0.902 0.902 0.902
0.098 0.098 0.098
0.295 0.705 0.000
0.705 0.000 0.295
0.000 0.295 0.705
0.705 0.295 0.000
0.295 0.000 0.705
0.000 0.705 0.295
0.346 0.346 0.843
0.346 0.843 0.346
0.843 0.346 0.346
0.654 0.157 0.654
0.654 0.654 0.157
0.157 0.654 0.654



BaAg9Pd2 | Alexandria via LeMat-Bulk | PBE | relaxed; D(E_F) = 7.07 states/eV/cell; formation energy = -108 meV/atom
1.0
6.742 0.000 3.104
3.371 8.112 1.552
-0.021 0.000 8.921
Ba Ag Pd
2 18 4
direct
0.500 0.000 0.000
0.250 0.500 0.500
0.750 0.500 0.500
0.000 0.000 0.000
0.015 0.918 0.672
0.605 0.082 0.328
0.683 0.172 0.582
0.437 0.828 0.418
0.735 0.828 0.582
0.145 0.172 0.418
0.067 0.918 0.328
0.313 0.082 0.672
0.735 0.582 0.828
0.145 0.418 0.172
0.067 0.328 0.918
0.313 0.672 0.082
0.015 0.672 0.918
0.605 0.328 0.082
0.683 0.582 0.172
0.437 0.418 0.828
0.875 0.250 0.750
0.875 0.750 0.250
0.875 0.250 0.250
0.375 0.750 0.750



BaAg4Pd | Alexandria via LeMat-Bulk | PBE | relaxed; D(E_F) = 3.03 states/eV/cell; ΔE to the lowest computed polymorph = 1.65 kcal/mol of atoms; formation energy = -50 meV/atom
1.0
4.713 -0.513 -2.485
-0.513 4.713 2.485
-2.825 2.825 9.773
Ba Ag Pd
1 4 1
direct
0.500 0.000 0.000
0.264 0.236 0.262
0.736 0.764 0.738
0.000 0.000 0.500
0.500 0.500 0.500
0.000 0.500 0.500



Ba2AgPd9 | Alexandria via LeMat-Bulk | PBE | relaxed; D(E_F) = 11.78 states/eV/cell; formation energy = -176 meV/atom
1.0
-5.080 1.359 1.600
-1.205 0.306 5.354
0.290 9.436 2.348
Ba Ag Pd
2 1 9
direct
0.864 0.864 0.409
0.136 0.136 0.591
0.000 0.000 0.000
0.667 0.667 0.998
0.333 0.333 0.002
0.500 0.500 0.500
0.419 0.419 0.241
0.920 0.419 0.241
0.419 0.920 0.241
0.581 0.581 0.759
0.581 0.080 0.759
0.080 0.581 0.759



BaAg8Pd4 | Alexandria via LeMat-Bulk | PBE | relaxed; D(E_F) = 2.79 states/eV/cell; formation energy = -149 meV/atom
1.0
5.585 0.000 0.000
2.793 6.715 0.000
2.793 0.000 6.715
Ba Ag Pd
1 8 4
direct
0.000 0.000 0.000
0.000 0.351 0.649
0.000 0.649 0.351
0.351 0.649 0.649
0.649 0.351 0.351
0.500 0.773 0.227
0.500 0.227 0.773
0.273 0.227 0.227
0.727 0.773 0.773
0.000 0.000 0.500
0.500 0.000 0.500
0.000 0.500 0.000
0.500 0.500 0.000